12
Lattice="3.999 0.000 0.000 0.000 15.433 0.000 0.000 0.000 5.708" Properties=species:S:1:pos:R:3 comment="meta-GGA SCAN La2Cl, PBEsol geometry" magmom_total_mub_per_cell=0.00 formation_energy_uncorrected_kj_per_mol_atoms=-112.7 volume_a3_per_cell=352.23 dos_at_fermi_per_ev_fu=2.5 pbc="T T T"
La 0.000 0.755 1.427
La 0.000 4.963 1.427
La 0.000 10.470 4.281
La 0.000 14.678 4.281
La 1.999 2.754 4.281
La 1.999 6.962 4.281
La 1.999 8.472 1.427
La 1.999 12.680 1.427
Cl 0.000 4.881 4.281
Cl 0.000 10.553 1.427
Cl 1.999 2.836 1.427
Cl 1.999 12.598 4.281